(1)
# GaSnMo4N2

A relaxed structure of GaSnMo4N2 (PBE, OQMD via LeMat-Bulk).

Computed properties:
- Final energy: -8.437 eV per atom
- ρ: 8.74 g cm⁻³
- V: 14.25 A^3/atom

a = 3.2069 Å, b = 3.2069 Å, c = 12.8017 Å
α = 90.00°, β = 90.00°, γ = 120.00°
Positions (direct):
Ga: 0.0000 0.0000 0.0000
Sn: 0.6667 0.3333 0.5000
Mo: 0.0000 0.0000 0.3206
Mo: 0.0000 0.0000 0.6794
Mo: 0.6667 0.3333 0.1590
Mo: 0.6667 0.3333 0.8410
N: 0.3333 0.6667 0.2444
N: 0.3333 0.6667 0.7556

(2)
# Ta4Ga3Mo2N3

A relaxed structure of Ta4Ga3Mo2N3 (PBE, OQMD via LeMat-Bulk).

Computed properties:
- Final energy: -9.084 eV per atom
- ρ: 11.93 g cm⁻³
- V: 13.53 A^3/atom

a = 5.1169 Å, b = 5.1169 Å, c = 14.6480 Å
α = 100.12°, β = 100.12°, γ = 59.86°
Positions (direct):
Ta: 0.0272 0.2028 0.0951
Ta: 0.1383 0.3021 0.4048
Ta: 0.2028 0.0272 0.5951
Ta: 0.3021 0.1383 0.9048
Ta: 0.6979 0.8617 0.0952
Ta: 0.7972 0.9728 0.4049
Ta: 0.8617 0.6979 0.5952
Ta: 0.9728 0.7972 0.9049
Ga: 0.0933 0.9067 0.2500
Ga: 0.2627 0.4145 0.7493
Ga: 0.4145 0.2627 0.2493
Ga: 0.5855 0.7373 0.7507
Ga: 0.7373 0.5855 0.2507
Ga: 0.9067 0.0933 0.7500
Mo: 0.3694 0.5336 0.0971
Mo: 0.4664 0.6306 0.4029
Mo: 0.5336 0.3694 0.5971
Mo: 0.6306 0.4664 0.9029
N: 0.0000 0.5000 0.0000
N: 0.1576 0.6708 0.5000
N: 0.3292 0.8424 0.0000
N: 0.5000 0.0000 0.5000
N: 0.6708 0.1576 0.0000
N: 0.8424 0.3292 0.5000

(3)
# TlGaMo4N2

A relaxed structure of TlGaMo4N2 (PBE, OQMD via LeMat-Bulk).

Computed properties:
- Final energy: -8.114 eV per atom
- ρ: 10.20 g cm⁻³
- V: 13.96 A^3/atom

a = 3.0375 Å, b = 3.0375 Å, c = 13.9736 Å
α = 90.00°, β = 90.00°, γ = 120.00°
Positions (direct):
Tl: 0.0000 0.0000 0.0000
Ga: 0.6667 0.3333 0.5000
Mo: 0.0000 0.0000 0.3479
Mo: 0.0000 0.0000 0.6521
Mo: 0.6667 0.3333 0.1742
Mo: 0.6667 0.3333 0.8258
N: 0.3333 0.6667 0.2600
N: 0.3333 0.6667 0.7400

(4)
# ZnGaMo4N2

A relaxed structure of ZnGaMo4N2 (PBE, OQMD via LeMat-Bulk).

Computed properties:
- Final energy: -8.154 eV per atom
- ρ: 8.85 g cm⁻³
- V: 12.83 A^3/atom

a = 2.8503 Å, b = 2.8503 Å, c = 14.5927 Å
α = 90.00°, β = 90.00°, γ = 120.00°
Positions (direct):
Zn: 0.0000 0.0000 0.0000
Ga: 0.6667 0.3333 0.5000
Mo: 0.0000 0.0000 0.3469
Mo: 0.0000 0.0000 0.6531
Mo: 0.6667 0.3333 0.1548
Mo: 0.6667 0.3333 0.8452
N: 0.3333 0.6667 0.2508
N: 0.3333 0.6667 0.7492

(5)
# NaGaMo

A relaxed structure of NaGaMo (PBE, OQMD via LeMat-Bulk).

Computed properties:
- Final energy: -4.099 eV per atom
- ρ: 4.98 g cm⁻³
- V: 20.95 A^3/atom

a = 6.3114 Å, b = 6.3114 Å, c = 6.3114 Å
α = 90.00°, β = 90.00°, γ = 90.00°
Positions (direct):
Na: 0.0000 0.0000 0.0000
Na: 0.0000 0.5000 0.5000
Na: 0.5000 0.0000 0.5000
Na: 0.5000 0.5000 0.0000
Ga: 0.2500 0.2500 0.7500
Ga: 0.2500 0.7500 0.2500
Ga: 0.7500 0.2500 0.2500
Ga: 0.7500 0.7500 0.7500
Mo: 0.0000 0.0000 0.5000
Mo: 0.0000 0.5000 0.0000
Mo: 0.5000 0.0000 0.0000
Mo: 0.5000 0.5000 0.5000

(6)
# NaGaMoOs

A relaxed structure of NaGaMoOs (PBE, OQMD via LeMat-Bulk).

Computed properties:
- Final energy: -6.327 eV per atom
- ρ: 10.33 g cm⁻³
- V: 15.22 A^3/atom

a = 6.2446 Å, b = 6.2446 Å, c = 6.2446 Å
α = 90.00°, β = 90.00°, γ = 90.00°
Positions (direct):
Na: 0.0000 0.0000 0.0000
Na: 0.0000 0.5000 0.5000
Na: 0.5000 0.0000 0.5000
Na: 0.5000 0.5000 0.0000
Ga: 0.2500 0.2500 0.2500
Ga: 0.2500 0.7500 0.7500
Ga: 0.7500 0.2500 0.7500
Ga: 0.7500 0.7500 0.2500
Mo: 0.2500 0.2500 0.7500
Mo: 0.2500 0.7500 0.2500
Mo: 0.7500 0.2500 0.2500
Mo: 0.7500 0.7500 0.7500
Os: 0.0000 0.0000 0.5000
Os: 0.0000 0.5000 0.0000
Os: 0.5000 0.0000 0.0000
Os: 0.5000 0.5000 0.5000

(7)
# NaGaMoOs

A relaxed structure of NaGaMoOs (PBE, OQMD via LeMat-Bulk).

Computed properties:
- Final energy: -6.182 eV per atom
- ρ: 10.13 g cm⁻³
- V: 15.53 A^3/atom

a = 6.2871 Å, b = 6.2871 Å, c = 6.2871 Å
α = 90.00°, β = 90.00°, γ = 90.00°
Positions (direct):
Na: 0.0000 0.0000 0.0000
Na: 0.0000 0.5000 0.5000
Na: 0.5000 0.0000 0.5000
Na: 0.5000 0.5000 0.0000
Ga: 0.2500 0.2500 0.7500
Ga: 0.2500 0.7500 0.2500
Ga: 0.7500 0.2500 0.2500
Ga: 0.7500 0.7500 0.7500
Mo: 0.0000 0.0000 0.5000
Mo: 0.0000 0.5000 0.0000
Mo: 0.5000 0.0000 0.0000
Mo: 0.5000 0.5000 0.5000
Os: 0.2500 0.2500 0.2500
Os: 0.2500 0.7500 0.7500
Os: 0.7500 0.2500 0.7500
Os: 0.7500 0.7500 0.2500

(8)
# NbGaNiMo

A relaxed structure of NbGaNiMo (PBE, OQMD via LeMat-Bulk).

Computed properties:
- Final energy: -7.393 eV per atom
- ρ: 8.76 g cm⁻³
- V: 15.04 A^3/atom

a = 6.2195 Å, b = 6.2195 Å, c = 6.2195 Å
α = 90.00°, β = 90.00°, γ = 90.00°
Positions (direct):
Nb: 0.0000 0.0000 0.0000
Nb: 0.0000 0.5000 0.5000
Nb: 0.5000 0.0000 0.5000
Nb: 0.5000 0.5000 0.0000
Ga: 0.0000 0.0000 0.5000
Ga: 0.0000 0.5000 0.0000
Ga: 0.5000 0.0000 0.0000
Ga: 0.5000 0.5000 0.5000
Ni: 0.2500 0.2500 0.7500
Ni: 0.2500 0.7500 0.2500
Ni: 0.7500 0.2500 0.2500
Ni: 0.7500 0.7500 0.7500
Mo: 0.2500 0.2500 0.2500
Mo: 0.2500 0.7500 0.7500
Mo: 0.7500 0.2500 0.7500
Mo: 0.7500 0.7500 0.2500